A geometry-optimized Zn2CuRu structure. Source: the Alexandria database, functional GGA-PBE.

- Calculated volume: 55.47 Å³ per cell
- SG: R3m, No. 160
- Formation enthalpy at 0 K: 1.85 kcal/mol of atoms
- Density of states at the Fermi level: 0.79 states/eV per atom

a b c (Å): 8.9313 8.9313 8.9313
angles (deg): 17.38 17.38 17.38
Closest atoms and distances in Å follow each position.
Sites, in units of the cell vectors:
1 Cu 0.4998 0.4998 0.4998  3 Zn 2.61, 3 Ru 2.66, 6 Cu 2.70
2 Ru 0.7514 0.7514 0.7514  3 Cu 2.66, 3 Zn 2.66, 6 Ru 2.70
3 Zn 0.0030 0.0030 0.0030  3 Ru 2.66, 9 Zn 2.70-2.85
4 Zn 0.2457 0.2457 0.2457  3 Cu 2.61, 9 Zn 2.70-2.85

A geometry-optimized TlTeP2 structure. Source: the Alexandria database, functional GGA-PBE.

- Calculated volume: 102.75 Å³ per cell
- SG: Imm2, No. 44
- Density of states at the Fermi level: 0.48 states/eV per atom
- ΔE_f (raw): 0.187 eV per atom

a b c (Å): 6.2266 6.2266 6.2266
angles (deg): 149.51 121.94 67.00
Closest atoms and distances in Å follow each position.
Sites, in units of the cell vectors:
1 P 0.0755 0.0755 0.0000  2 P 2.17
2 P 0.2120 0.7120 0.5000  2 P 2.17
3 Te 0.4469 0.4469 0.0000  2 P 2.94, 2 Te 3.27
4 Tl 0.7656 0.2656 0.5000  2 Tl 3.27, 8 P 3.48-3.61, 2 Te 3.56

A geometry-optimized Sb4H2SO10 structure. Source: the Alexandria database, functional GGA-PBE.

- Calculated volume: 1030.40 Å³ per cell
- SG: Pca2_1, No. 29
- Density of states at the Fermi level: 0.00 states/eV per atom
- Raw total energy: -5.8299 eV/atom

a b c (Å): 5.8858 11.3909 15.3688
angles (deg): 90.00 90.00 90.00
Closest atoms and distances in Å follow each position.
Sites, in units of the cell vectors:
1 Sb 0.9756 0.6330 0.2515  2 O 1.99-2.06
2 Sb 0.0244 0.3670 0.7515  2 O 1.99-2.06
3 Sb 0.5244 0.6330 0.7515  2 O 1.99-2.06
4 Sb 0.4756 0.3670 0.2515  2 O 1.99-2.06
5 Sb 0.9003 0.9106 0.0937  3 O 2.00-2.17
6 Sb 0.0997 0.0894 0.5937  3 O 2.00-2.17
7 Sb 0.5997 0.9106 0.5937  3 O 2.00-2.17
8 Sb 0.4003 0.0894 0.0937  3 O 2.00-2.17
9 Sb 0.6508 0.5936 0.4306  3 O 2.03-2.13
10 Sb 0.3492 0.4064 0.9306  3 O 2.03-2.13
11 Sb 0.8492 0.5936 0.9306  3 O 2.03-2.13
12 Sb 0.1508 0.4064 0.4306  3 O 2.03-2.13
13 Sb 0.5601 0.8608 0.2672  3 O 2.00-2.20
14 Sb 0.4399 0.1392 0.7672  3 O 2.00-2.20
15 Sb 0.9399 0.8608 0.7672  3 O 2.00-2.20
16 Sb 0.0601 0.1392 0.2672  3 O 2.00-2.20
17 H 0.8502 0.4826 0.1391  1 O 0.99
18 H 0.1498 0.5174 0.6391  1 O 0.99
19 H 0.6498 0.4826 0.6391  1 O 0.99
20 H 0.3502 0.5174 0.1391  1 O 0.99
21 H 0.8656 0.8987 0.3796  1 O 0.98
22 H 0.1344 0.1013 0.8796  1 O 0.98
23 H 0.6344 0.8987 0.8796  1 O 0.98
24 H 0.3656 0.1013 0.3796  1 O 0.98
25 S 0.1798 0.7347 0.5073  4 O 1.48-1.52
26 S 0.8202 0.2653 0.0073  4 O 1.48-1.52
27 S 0.3202 0.7347 0.0073  4 O 1.48-1.52
28 S 0.6798 0.2653 0.5073  4 O 1.48-1.52
29 O 0.3487 0.7462 0.4344  1 S 1.50
30 O 0.6513 0.2538 0.9344  1 S 1.50
31 O 0.1513 0.7462 0.9344  1 S 1.50
32 O 0.8487 0.2538 0.4344  1 S 1.50
33 O 0.1516 0.6085 0.5299  1 S 1.49
34 O 0.8484 0.3915 0.0299  1 S 1.49
35 O 0.3484 0.6085 0.0299  1 S 1.49
36 O 0.6516 0.3915 0.5299  1 S 1.49
37 O 0.9613 0.7892 0.4820  1 S 1.48
38 O 0.0387 0.2108 0.9820  1 S 1.48
39 O 0.5387 0.7892 0.9820  1 S 1.48
40 O 0.4613 0.2108 0.4820  1 S 1.48
41 O 0.2720 0.7974 0.5871  1 S 1.52
42 O 0.7280 0.2026 0.0871  1 S 1.52
43 O 0.2280 0.7974 0.0871  1 S 1.52
44 O 0.7720 0.2026 0.5871  1 S 1.52
45 O 0.7678 0.5322 0.1813  1 H 0.99
46 O 0.2322 0.4678 0.6813  1 H 0.99
47 O 0.7322 0.5322 0.6813  1 H 0.99
48 O 0.2678 0.4678 0.1813  1 H 0.99
49 O 0.8189 0.7937 0.1857  2 Sb 2.00-2.11
50 O 0.1811 0.2063 0.6857  2 Sb 2.00-2.11
51 O 0.6811 0.7937 0.6857  2 Sb 2.00-2.11
52 O 0.3189 0.2063 0.1857  2 Sb 2.00-2.11
53 O 0.9248 0.5102 0.3650  3 Sb 2.05-2.26
54 O 0.0752 0.4898 0.8650  3 Sb 2.05-2.26
55 O 0.5752 0.5102 0.8650  3 Sb 2.05-2.26
56 O 0.4248 0.4898 0.3650  3 Sb 2.05-2.26
57 O 0.6222 0.9914 0.1646  3 Sb 2.04-2.20
58 O 0.3778 0.0086 0.6646  3 Sb 2.04-2.20
59 O 0.8778 0.9914 0.6646  3 Sb 2.04-2.20
60 O 0.1222 0.0086 0.1646  3 Sb 2.04-2.20
61 O 0.7876 0.9501 0.3376  1 H 0.98
62 O 0.2124 0.0499 0.8376  1 H 0.98
63 O 0.7124 0.9501 0.8376  1 H 0.98
64 O 0.2876 0.0499 0.3376  1 H 0.98
65 O 0.7017 0.6923 0.3220  3 Sb 2.03-2.25
66 O 0.2983 0.3077 0.8220  3 Sb 2.03-2.25
67 O 0.7983 0.6923 0.8220  3 Sb 2.03-2.25
68 O 0.2017 0.3077 0.3220  3 Sb 2.03-2.25